First-principles (PBE+U) data for MnIO2 after structural relaxation, as listed in Alexandria.

- relative energy among the computed polymorphs (eV/atom) = 1.0928

Cell: 6.0846 6.0846 6.0846 Å, 90.00 90.00 90.00°
Space group Fm-3m (No. 225)
Asymmetric unit:
Mn 0.0000 0.0000 0.0000
I 0.0000 0.0000 0.5000
O 0.2500 0.2500 0.2500